Density functional theory data (PBE) for crystalline AsPOsCl2 at its relaxed geometry.

Cell lengths 4.7005, 4.7005, 5.2638 Å; angles 90.00, 90.00, 90.00 degrees
Space group P4/mmm (No. 123)
Symmetry-distinct sites (fractional):
As (0.0000, 0.0000, 0.0000) (multiplicity 1)
P (0.0000, 0.0000, 0.5000) (multiplicity 1)
Os (0.5000, 0.5000, 0.5000) (multiplicity 1)
Cl (0.0000, 0.5000, 0.0000) (multiplicity 2)

Density of states at the Fermi level, states/eV/cell: 7.21
Formation energy without anion corrections, eV/f.u.: 7.1
Energy above the lowest structure with this stoichiometry, kJ/mol of formula units: 339

Density functional theory data (PBE) for crystalline Mg2HPtAu at its relaxed geometry.

Cell lengths 4.5646, 4.5646, 3.4754 Å; angles 90.00, 90.00, 90.00 degrees
Space group P4/mmm (No. 123)
Symmetry-distinct sites (fractional):
Mg (0.0000, 0.5000, 0.0000) (multiplicity 2)
H (0.0000, 0.0000, 0.0000) (multiplicity 1)
Pt (0.0000, 0.0000, 0.5000) (multiplicity 1)
Au (0.5000, 0.5000, 0.5000) (multiplicity 1)

Density of states at the Fermi level, states/eV/cell: 1.92
Energy above the lowest structure with this stoichiometry, kJ/mol of formula units: 0

Density functional theory data (PBE) for crystalline LiBIrRh2 at its relaxed geometry.

Cell lengths 4.0819, 4.0819, 4.0783 Å; angles 90.00, 90.00, 90.00 degrees
Space group P4/mmm (No. 123)
Symmetry-distinct sites (fractional):
Li (0.0000, 0.0000, 0.0000) (multiplicity 1)
B (0.5000, 0.5000, 0.5000) (multiplicity 1)
Ir (0.5000, 0.5000, 0.0000) (multiplicity 1)
Rh (0.0000, 0.5000, 0.5000) (multiplicity 2)

Density of states at the Fermi level, states/eV/cell: 3.58
Formation energy, eV/atom: -0.10

Density functional theory data (PBE) for crystalline Os2SeCl at its relaxed geometry.

Cell lengths 2.9003, 3.0183, 17.8771 Å; angles 90.00, 90.00, 90.00 degrees
Space group Imm2 (No. 44)
Symmetry-distinct sites (fractional):
Os (0.0000, 0.0000, 0.0000) (multiplicity 2)
Os (0.0000, 0.5000, 0.3849) (multiplicity 2)
Se (0.0000, 0.0000, 0.5853) (multiplicity 2)
Cl (0.0000, 0.5000, 0.7895) (multiplicity 2)

Density of states at the Fermi level, states/eV/cell: 8.52
Formation energy without anion corrections, eV/f.u.: 2.7
Energy above the lowest structure with this stoichiometry, kJ/mol of formula units: 171

Density functional theory data (PBE) for crystalline PmNpN2 at its relaxed geometry.

Cell lengths 3.4205, 3.4205, 18.4924 Å; angles 90.00, 90.00, 120.00 degrees
Space group R3m (No. 160, hexagonal axes)
Symmetry-distinct sites (fractional):
Pm (0.0000, 0.0000, 0.0000) (multiplicity 3)
Np (0.0000, 0.0000, 0.8282) (multiplicity 3)
N (0.0000, 0.0000, 0.4147) (multiplicity 3)
N (0.0000, 0.0000, 0.5733) (multiplicity 3)

Density of states at the Fermi level, states/eV/cell: 16.65
Formation energy without anion corrections, eV/f.u.: -4.1
Energy above the lowest structure with this stoichiometry, kJ/mol of formula units: 100

Density functional theory data (PBE) for crystalline Te2IrSe at its relaxed geometry.

Cell lengths 4.0416, 4.0416, 24.0066 Å; angles 90.00, 90.00, 120.00 degrees
Space group R-3m (No. 166, hexagonal axes)
Symmetry-distinct sites (fractional):
Te (0.0000, 0.0000, 0.1117) (multiplicity 6)
Ir (0.0000, 0.0000, 0.5000) (multiplicity 3)
Se (0.0000, 0.0000, 0.0000) (multiplicity 3)

Density of states at the Fermi level, states/eV/cell: 4.92
Formation energy without anion corrections, eV/f.u.: -0.2

Density functional theory data (PBE) for crystalline LiSc2Rh at its relaxed geometry.

Cell lengths 7.9609, 3.0764, 6.5026 Å; angles 90.00, 94.78, 90.00 degrees
Space group C2/m (No. 12)
Symmetry-distinct sites (fractional):
Li (0.0000, 0.0000, 0.0000) (multiplicity 2)
Sc (0.2419, 0.0000, 0.7138) (multiplicity 4)
Rh (0.0000, 0.5000, 0.5000) (multiplicity 2)

Density of states at the Fermi level, states/eV/cell: 8.44
Formation energy, eV/atom: -0.25

Density functional theory data (PBE) for crystalline YTmMgNi at its relaxed geometry.

Cell lengths 3.4285, 3.4285, 7.8536 Å; angles 90.00, 90.00, 90.00 degrees
Space group P4mm (No. 99)
Symmetry-distinct sites (fractional):
Y (0.0000, 0.0000, 0.0000) (multiplicity 1)
Tm (0.0000, 0.0000, 0.4065) (multiplicity 1)
Mg (0.5000, 0.5000, 0.6994) (multiplicity 1)
Ni (0.5000, 0.5000, 0.2137) (multiplicity 1)

Density of states at the Fermi level, states/eV/cell: 2.43
Formation energy, eV/atom: -0.26
Energy above the lowest structure with this stoichiometry, kJ/mol of formula units: 0

Density functional theory data (PBE) for crystalline Li2Ca2PrTl2 at its relaxed geometry.

Cell lengths 5.0120, 5.0120, 27.6762 Å; angles 90.00, 90.00, 120.00 degrees
Space group R-3m (No. 166, hexagonal axes)
Symmetry-distinct sites (fractional):
Li (0.0000, 0.0000, 0.1056) (multiplicity 6)
Ca (0.0000, 0.0000, 0.3738) (multiplicity 6)
Pr (0.0000, 0.0000, 0.5000) (multiplicity 3)
Tl (0.0000, 0.0000, 0.2338) (multiplicity 6)

Density of states at the Fermi level, states/eV/cell: 14.91
Formation energy, eV/atom: -0.24

Density functional theory data (PBE) for crystalline SrLi2ZnPt at its relaxed geometry.

Cell lengths 4.8375, 4.8375, 4.9375 Å; angles 90.00, 90.00, 90.00 degrees
Space group P4/mmm (No. 123)
Symmetry-distinct sites (fractional):
Sr (0.0000, 0.0000, 0.0000) (multiplicity 1)
Li (0.0000, 0.5000, 0.5000) (multiplicity 2)
Zn (0.5000, 0.5000, 0.0000) (multiplicity 1)
Pt (0.5000, 0.5000, 0.5000) (multiplicity 1)

Density of states at the Fermi level, states/eV/cell: 2.38
Formation energy, eV/atom: -0.34

Density functional theory data (PBE) for crystalline Na2PuCu2O6 at its relaxed geometry.

Cell lengths 5.3186, 5.3186, 5.6462 Å; angles 90.00, 90.00, 120.00 degrees
Space group P-31m (No. 162)
Symmetry-distinct sites (fractional):
Na (0.3333, 0.6667, 0.0000) (multiplicity 2)
Pu (0.0000, 0.0000, 0.5000) (multiplicity 1)
Cu (0.3333, 0.6667, 0.5000) (multiplicity 2)
O (0.0000, 0.3309, 0.7028) (multiplicity 6)

Density of states at the Fermi level, states/eV/cell: 7.33
Formation energy without anion corrections, eV/f.u.: -17.2

Density functional theory data (PBE) for crystalline MgMnPS2 at its relaxed geometry.

Cell lengths 4.7562, 4.7562, 4.7842 Å; angles 90.00, 90.00, 90.00 degrees
Space group P4/mmm (No. 123)
Symmetry-distinct sites (fractional):
Mg (0.0000, 0.0000, 0.0000) (multiplicity 1)
Mn (0.5000, 0.5000, 0.5000) (multiplicity 1)
P (0.0000, 0.0000, 0.5000) (multiplicity 1)
S (0.0000, 0.5000, 0.0000) (multiplicity 2)

Density of states at the Fermi level, states/eV/cell: 4.92
Formation energy without anion corrections, eV/f.u.: 2.9
Energy above the lowest structure with this stoichiometry, kJ/mol of formula units: 276